A relaxed Ba5Cd6 crystal, computed with PBE.

Unit cell a=5.8999 b=8.7406 c=10.2710 alpha=115.18 beta=106.69 gamma=90.01
With the nearest neighbours (Å) after each atom.
Positions (direct):
Ba: 0.6496 0.1496 0.2991  8 Cd 3.61-3.78
Ba: 0.3504 0.8504 0.7009  8 Cd 3.61-3.78
Ba: 0.0000 0.5000 0.0000  8 Cd 3.51-3.66
Ba: 0.3269 0.3269 0.6537  8 Cd 3.58-3.60
Ba: 0.6731 0.6731 0.3463  8 Cd 3.58-3.60
Cd: 0.5001 0.7187 0.0000  6 Ba 3.51-3.61, 1 Cd 3.82
Cd: 0.8289 0.0924 0.6576  7 Ba 3.58-3.78
Cd: 0.8288 0.5652 0.6576  7 Ba 3.58-3.78
Cd: 0.1712 0.4348 0.3424  7 Ba 3.58-3.78
Cd: 0.1711 0.9076 0.3424  7 Ba 3.58-3.78
Cd: 0.4999 0.2813 0.0000  6 Ba 3.51-3.61, 1 Cd 3.82

Summary:
- Symmetry: Immm
- Formation enthalpy at 0 K: -192 meV per atom
- Crystal system: orthorhombic